Record 1
# SrTl6Bi2 | the Alexandria database | PBE-GGA | optimized geometry
data_SrTl6Bi2
_chemical_formula_sum 'Sr2 Tl12 Bi4'
_cell_length_a 9.6753
_cell_length_b 5.5922
_cell_length_c 10.7358
_cell_angle_alpha 90.00
_cell_angle_beta 90.05
_cell_angle_gamma 90.00
_symmetry_space_group_name_H-M 'C 1 2/m 1'
_symmetry_Int_Tables_number 12
loop_
_symmetry_equiv_pos_as_xyz
'x,y,z'
'-x,-y,-z'
'-x,y,-z'
'x,-y,z'
'x+1/2,y+1/2,z'
'-x+1/2,-y+1/2,-z'
'-x+1/2,y+1/2,-z'
'x+1/2,-y+1/2,z'
loop_
_atom_site_label
_atom_site_type_symbol
_atom_site_fract_x
_atom_site_fract_y
_atom_site_fract_z
Sr1 Sr 0.0000 0.0000 0.0000
Tl1 Tl 0.9998 0.0000 0.3410
Tl2 Tl 0.1666 0.5000 0.1255
Tl3 Tl 0.1667 0.5000 0.4703
Bi1 Bi 0.1668 0.5000 0.7963
# * spin magnetization: 0.00 μB per formula unit
# * D(E_F): 8.48 states/eV/cell
# * DFT formation energy: -1.5 eV per formula unit

---

Record 2
# SrTl2Bi5 | the Alexandria database | PBE-GGA | optimized geometry
data_SrTl2Bi5
_chemical_formula_sum 'Sr2 Tl4 Bi10'
_cell_length_a 6.1881
_cell_length_b 6.1881
_cell_length_c 14.0507
_cell_angle_alpha 90.00
_cell_angle_beta 90.00
_cell_angle_gamma 90.00
_symmetry_space_group_name_H-M 'I 4/m m m'
_symmetry_Int_Tables_number 139
_symmetry_space_group_name_Hall '-I 4 2'
loop_
_atom_site_label
_atom_site_type_symbol
_atom_site_fract_x
_atom_site_fract_y
_atom_site_fract_z
Sr1 Sr 0.0000 0.0000 0.0000
Tl1 Tl 0.0000 0.0000 0.2517
Bi1 Bi 0.0000 0.0000 0.5000
Bi2 Bi 0.0000 0.5000 0.1150
# * spin magnetization: 0.00 μB per formula unit
# * D(E_F): 4.93 states/eV/cell
# * DFT formation energy: -1.3 eV per formula unit

---

Record 3
# SrTl8Bi6 | the Alexandria database | PBE-GGA | optimized geometry
data_SrTl8Bi6
_chemical_formula_sum 'Sr1 Tl8 Bi6'
_cell_length_a 8.9060
_cell_length_b 8.9100
_cell_length_c 8.9121
_cell_angle_alpha 62.98
_cell_angle_beta 63.01
_cell_angle_gamma 62.94
_symmetry_space_group_name_H-M 'P -1'
_symmetry_Int_Tables_number 2
loop_
_symmetry_equiv_pos_as_xyz
'x,y,z'
'-x,-y,-z'
loop_
_atom_site_label
_atom_site_type_symbol
_atom_site_fract_x
_atom_site_fract_y
_atom_site_fract_z
Sr1 Sr 0.0000 0.0000 0.0000
Tl1 Tl 0.1190 0.4386 0.7930
Tl2 Tl 0.2070 0.8811 0.5614
Tl3 Tl 0.3331 0.3331 0.3331
Tl4 Tl 0.4387 0.7930 0.1190
Bi1 Bi 0.0626 0.7187 0.4095
Bi2 Bi 0.2815 0.5906 0.9369
Bi3 Bi 0.4092 0.0632 0.7184
# * spin magnetization: 0.00 μB per formula unit
# * D(E_F): 7.16 states/eV/cell
# * DFT formation energy: -0.7 eV per formula unit

---

Record 4
# Sr3Tl2Bi4 | the Alexandria database | PBE-GGA | optimized geometry
data_Sr3Tl2Bi4
_chemical_formula_sum 'Sr6 Tl4 Bi8'
_cell_length_a 18.0757
_cell_length_b 5.0992
_cell_length_c 7.4668
_cell_angle_alpha 90.00
_cell_angle_beta 113.95
_cell_angle_gamma 90.00
_symmetry_space_group_name_H-M 'C 1 2/m 1'
_symmetry_Int_Tables_number 12
loop_
_symmetry_equiv_pos_as_xyz
'x,y,z'
'-x,-y,-z'
'-x,y,-z'
'x,-y,z'
'x+1/2,y+1/2,z'
'-x+1/2,-y+1/2,-z'
'-x+1/2,y+1/2,-z'
'x+1/2,-y+1/2,z'
loop_
_atom_site_label
_atom_site_type_symbol
_atom_site_fract_x
_atom_site_fract_y
_atom_site_fract_z
Sr1 Sr 0.0000 0.0000 0.0000
Sr2 Sr 0.1276 0.0000 0.6314
Tl1 Tl 0.1710 0.5000 0.0150
Bi1 Bi 0.0151 0.5000 0.3066
Bi2 Bi 0.2241 0.0000 0.3008
# * spin magnetization: 0.00 μB per formula unit
# * D(E_F): 6.94 states/eV/cell
# * DFT formation energy: -4.8 eV per formula unit

---

Record 5
# SrTl6Bi | the Alexandria database | PBE-GGA | optimized geometry
data_SrTl6Bi
_chemical_formula_sum 'Sr2 Tl12 Bi2'
_cell_length_a 5.6753
_cell_length_b 6.9938
_cell_length_c 12.8069
_cell_angle_alpha 90.00
_cell_angle_beta 90.00
_cell_angle_gamma 90.00
_symmetry_space_group_name_H-M 'A m m 2'
_symmetry_Int_Tables_number 38
loop_
_symmetry_equiv_pos_as_xyz
'x,y,z'
'-x,-y,z'
'-x,y,z'
'x,-y,z'
'x,y+1/2,z+1/2'
'-x,-y+1/2,z+1/2'
'-x,y+1/2,z+1/2'
'x,-y+1/2,z+1/2'
loop_
_atom_site_label
_atom_site_type_symbol
_atom_site_fract_x
_atom_site_fract_y
_atom_site_fract_z
Sr1 Sr 0.0000 0.0000 0.0000
Tl1 Tl 0.0000 0.2458 0.7513
Tl2 Tl 0.5000 0.0000 0.3437
Tl3 Tl 0.5000 0.0000 0.8361
Tl4 Tl 0.5000 0.2406 0.5957
Bi1 Bi 0.0000 0.0000 0.5023
# * spin magnetization: 0.00 μB per formula unit
# * D(E_F): 7.06 states/eV/cell
# * DFT formation energy: -1.3 eV per formula unit

---

Record 6
# Sr3TlBi2 | the Alexandria database | PBE-GGA | optimized geometry
data_Sr3TlBi2
_chemical_formula_sum 'Sr6 Tl2 Bi4'
_cell_length_a 4.9072
_cell_length_b 18.1022
_cell_length_c 4.8638
_cell_angle_alpha 90.00
_cell_angle_beta 90.00
_cell_angle_gamma 90.00
_symmetry_space_group_name_H-M 'C m m m'
_symmetry_Int_Tables_number 65
_symmetry_space_group_name_Hall '-C 2 2'
loop_
_atom_site_label
_atom_site_type_symbol
_atom_site_fract_x
_atom_site_fract_y
_atom_site_fract_z
Sr1 Sr 0.0000 0.0000 0.0000
Sr2 Sr 0.0000 0.1689 0.5000
Tl1 Tl 0.0000 0.5000 0.5000
Bi1 Bi 0.0000 0.3523 0.0000
# * spin magnetization: 0.00 μB per formula unit
# * D(E_F): 3.97 states/eV/cell
# * DFT formation energy: -3.9 eV per formula unit

---

Record 7
# Sr2Tl3Bi3 | the Alexandria database | PBE-GGA | optimized geometry
data_Sr2Tl3Bi3
_chemical_formula_sum 'Sr2 Tl3 Bi3'
_cell_length_a 4.9768
_cell_length_b 5.1893
_cell_length_c 10.0550
_cell_angle_alpha 90.00
_cell_angle_beta 90.00
_cell_angle_gamma 90.00
_symmetry_space_group_name_H-M 'P m m m'
_symmetry_Int_Tables_number 47
loop_
_symmetry_equiv_pos_as_xyz
'x,y,z'
'-x,-y,-z'
'-x,-y,z'
'x,y,-z'
'x,-y,-z'
'-x,y,z'
'-x,y,-z'
'x,-y,z'
loop_
_atom_site_label
_atom_site_type_symbol
_atom_site_fract_x
_atom_site_fract_y
_atom_site_fract_z
Sr1 Sr 0.0000 0.0000 0.2473
Tl1 Tl 0.0000 0.5000 0.5000
Tl2 Tl 0.5000 0.5000 0.2573
Bi1 Bi 0.0000 0.5000 0.0000
Bi2 Bi 0.5000 0.0000 0.0000
Bi3 Bi 0.5000 0.0000 0.5000
# * spin magnetization: 0.00 μB per formula unit
# * D(E_F): 2.66 states/eV/cell
# * DFT formation energy: -3.5 eV per formula unit

---

Record 8
# SrTl3Bi | the Alexandria database | PBE-GGA | optimized geometry
data_SrTl3Bi
_chemical_formula_sum 'Sr1 Tl3 Bi1'
_cell_length_a 6.0934
_cell_length_b 6.0934
_cell_length_c 6.0934
_cell_angle_alpha 90.00
_cell_angle_beta 90.00
_cell_angle_gamma 90.00
_symmetry_space_group_name_H-M 'P m -3 m'
_symmetry_Int_Tables_number 221
_symmetry_space_group_name_Hall '-P 4 2 3'
loop_
_atom_site_label
_atom_site_type_symbol
_atom_site_fract_x
_atom_site_fract_y
_atom_site_fract_z
Sr1 Sr 0.0000 0.0000 0.0000
Tl1 Tl 0.0000 0.0000 0.5000
Bi1 Bi 0.5000 0.5000 0.5000
# * spin magnetization: 0.00 μB per formula unit
# * offset from the most stable computed form: 542 meV/atom
# * D(E_F): 2.74 states/eV/cell
# * DFT formation energy: 2.7 eV per formula unit